1.
## Tb3CeTe4 (GGA-PBE)

Data for a relaxed structure of Tb3CeTe4.

Results
- ΔE_f (raw) (eV/atom) = -1.33
- energy relative to the lowest polymorph listed for this composition (meV per atom) = 0

a = 8.8991 Å, b = 12.4406 Å, c = 4.3549 Å
α = 90.00°, β = 90.00°, γ = 90.00°
Space group Cmmm (No. 65)
One atom of each set of equivalent atoms:
Tb 0.0000 0.0000 0.0000
Tb 0.2500 0.2500 0.5000
Ce 0.0000 0.5000 0.0000
Te 0.0000 0.2471 0.0000
Te 0.2437 0.0000 0.5000

***

2.
## AlCo2H8 (GGA-PBE)

Data for a relaxed structure of AlCo2H8.

a = 7.0379 Å, b = 4.8504 Å, c = 5.3408 Å
α = 90.00°, β = 110.62°, γ = 90.00°
Space group C2/m (No. 12)
One atom of each set of equivalent atoms:
Al 0.0000 0.0000 0.0000
Co 0.1673 0.0000 0.4329
H 0.0816 0.0000 0.6933
H 0.1269 0.3259 0.3894
H 0.2329 0.5000 0.7818

***

3.
## TmAsPt (GGA-PBE)

Data for a relaxed structure of TmAsPt.

Results
- DFT formation energy (meV per atom) = -1169

a = 4.2810 Å, b = 4.2810 Å, c = 7.5717 Å
α = 90.00°, β = 90.00°, γ = 120.00°
Space group P6_3/mmc (No. 194)
One atom of each set of equivalent atoms:
Tm 0.0000 0.0000 0.0000
As 0.3333 0.6667 0.2500
Pt 0.3333 0.6667 0.7500

***

4.
## ZnCu2Sn2 (GGA-PBE)

Data for a relaxed structure of ZnCu2Sn2.

Results
- energy relative to the lowest polymorph listed for this composition (meV per atom) = 0
- DFT formation energy (meV per atom) = 100

a = 6.7158 Å, b = 6.7158 Å, c = 4.0986 Å
α = 90.00°, β = 90.00°, γ = 90.00°
Space group P4/mbm (No. 127)
One atom of each set of equivalent atoms:
Zn 0.0000 0.0000 0.0000
Cu 0.1336 0.3664 0.0000
Sn 0.1723 0.6723 0.5000

***

Number 1: E_tot -86.03 eV/cell, total magnetization 1.2 μB/f.u.. Number 2: E_tot -87.94 eV/cell, total magnetization 0.0 μB/f.u.. Number 3: E_tot -37.34 eV/cell, total magnetization 0.0 μB/f.u.. Number 4: E_tot -33.95 eV/cell, total magnetization 0.0 μB/f.u..